1.
VASP calculation (PBE) on a geometry-optimized Sc2SiPt structure.

abc: 4.797 4.797 3.135
angles: 90.00 90.00 101.25
Fractional coordinates of all 4 atoms:
Pt 0.000 0.500 0.500
Sc 0.000 0.000 0.000
Sc 0.500 0.500 0.000
Si 0.500 0.000 0.500

Properties
- total energy (eV/atom) = -6.918
- formation energy from raw total energies (eV per atom) = -0.89
- crystal system = orthorhombic
- ρ (g cm⁻³) = 7.3
- space group = Cmmm (65)



2.
VASP calculation (PBE) on a geometry-optimized SmScSi2Pt2 structure.

abc: 4.288 4.288 6.994
angles: 90.00 90.00 120.00
Fractional coordinates of all 6 atoms:
Sm 0.000 0.000 0.000
Sc 0.000 0.000 0.500
Si 0.667 0.333 0.291
Si 0.333 0.667 0.709
Pt 0.667 0.333 0.703
Pt 0.333 0.667 0.297

Properties
- total energy (eV/atom) = -6.823
- formation energy from raw total energies (eV per atom) = -1.16
- crystal system = trigonal
- ρ (g cm⁻³) = 9.6
- space group = P-3m1 (164)



3.
VASP calculation (PBE) on a geometry-optimized Sr2ScSi3Pt4 structure.

abc: 4.323 4.323 10.477
angles: 90.00 90.00 90.00
Fractional coordinates of all 10 atoms:
Sr 0.500 0.000 0.240
Sr 0.000 0.500 0.760
Sc 0.500 0.500 0.500
Si 0.000 0.000 0.500
Si 0.500 0.000 0.881
Si 0.000 0.500 0.119
Pt 0.500 0.500 0.000
Pt 0.000 0.000 0.000
Pt 0.500 0.000 0.648
Pt 0.000 0.500 0.352

Properties
- total energy (eV/atom) = -5.981
- formation energy from raw total energies (eV per atom) = -0.97
- crystal system = tetragonal
- ρ (g cm⁻³) = 9.2
- space group = P-4m2 (115)



4.
VASP calculation (PBE) on a geometry-optimized SrScSi2Pt5 structure.

abc: 4.119 4.119 10.810
angles: 90.00 90.00 90.00
Fractional coordinates of all 9 atoms:
Sr 0.000 0.000 0.500
Sc 0.000 0.000 0.000
Si 0.500 0.500 0.283
Si 0.500 0.500 0.717
Pt 0.000 0.500 0.172
Pt 0.500 0.000 0.172
Pt 0.000 0.500 0.828
Pt 0.500 0.000 0.828
Pt 0.500 0.500 0.500

Properties
- total energy (eV/atom) = -6.333
- formation energy from raw total energies (eV per atom) = -0.88
- crystal system = tetragonal
- ρ (g cm⁻³) = 10.5
- space group = P4/mmm (123)



5.
VASP calculation (PBE) on a geometry-optimized Tb2ScSi3Pt4 structure.

abc: 4.141 4.141 10.754
angles: 90.00 90.00 90.00
Fractional coordinates of all 10 atoms:
Tb 0.500 0.000 0.232
Tb 0.000 0.500 0.768
Sc 0.500 0.500 0.500
Si 0.000 0.000 0.500
Si 0.500 0.000 0.871
Si 0.000 0.500 0.129
Pt 0.500 0.500 0.000
Pt 0.000 0.000 0.000
Pt 0.500 0.000 0.651
Pt 0.000 0.500 0.349

Properties
- total energy (eV/atom) = -6.712
- formation energy from raw total energies (eV per atom) = -1.11
- crystal system = tetragonal
- ρ (g cm⁻³) = 11.1
- space group = P-4m2 (115)



6.
VASP calculation (PBE) on a geometry-optimized TbScSi2Pt5 structure.

abc: 4.047 4.047 10.943
angles: 90.00 90.00 90.00
Fractional coordinates of all 9 atoms:
Tb 0.000 0.000 0.500
Sc 0.000 0.000 0.000
Si 0.500 0.500 0.287
Si 0.500 0.500 0.713
Pt 0.000 0.500 0.175
Pt 0.500 0.000 0.175
Pt 0.000 0.500 0.825
Pt 0.500 0.000 0.825
Pt 0.500 0.500 0.500

Properties
- total energy (eV/atom) = -6.675
- formation energy from raw total energies (eV per atom) = -0.90
- crystal system = tetragonal
- ρ (g cm⁻³) = 11.4
- space group = P4/mmm (123)



7.
VASP calculation (PBE) on a geometry-optimized Th2ScSi3Pt12 structure.

abc: 7.720 7.720 7.720
angles: 64.68 64.68 64.68
Fractional coordinates of all 18 atoms:
Th 0.606 0.606 0.606
Th 0.394 0.394 0.394
Sc 0.000 0.000 0.000
Si 0.500 0.000 0.000
Si 0.000 0.500 0.000
Si 0.000 0.000 0.500
Pt 0.354 0.354 0.897
Pt 0.860 0.860 0.389
Pt 0.389 0.860 0.860
Pt 0.897 0.354 0.354
Pt 0.860 0.389 0.860
Pt 0.354 0.897 0.354
Pt 0.646 0.646 0.103
Pt 0.140 0.140 0.611
Pt 0.611 0.140 0.140
Pt 0.103 0.646 0.646
Pt 0.140 0.611 0.140
Pt 0.646 0.103 0.646

Properties
- total energy (eV/atom) = -6.743
- formation energy from raw total energies (eV per atom) = -0.64
- crystal system = trigonal
- ρ (g cm⁻³) = 13.6
- space group = R-3m (166)



8.
VASP calculation (PBE) on a geometry-optimized Th2ScSi3Pt4 structure.

abc: 4.215 4.215 10.726
angles: 90.00 90.00 90.00
Fractional coordinates of all 10 atoms:
Th 0.500 0.000 0.233
Th 0.000 0.500 0.767
Sc 0.500 0.500 0.500
Si 0.000 0.000 0.500
Si 0.500 0.000 0.873
Si 0.000 0.500 0.127
Pt 0.500 0.500 0.000
Pt 0.000 0.000 0.000
Pt 0.500 0.000 0.648
Pt 0.000 0.500 0.352

Properties
- total energy (eV/atom) = -7.268
- formation energy from raw total energies (eV per atom) = -1.11
- crystal system = tetragonal
- ρ (g cm⁻³) = 12.0
- space group = P-4m2 (115)